The following is a PBE-GGA calculation of a relaxed Hf3ZrPt2 crystal, from the Alexandria database.

a = 5.441 Å, b = 6.659 Å, c = 6.659 Å
α = 93.99°, β = 90.05°, γ = 90.05°
Sites, in units of the cell vectors:
Hf 0.750 0.097 0.405
Hf 0.250 0.085 0.085
Hf 0.250 0.595 0.903
Hf 0.250 0.903 0.595
Hf 0.750 0.915 0.915
Hf 0.750 0.405 0.097
Pt 0.000 0.246 0.754
Pt 0.000 0.754 0.246
Pt 0.500 0.754 0.246
Pt 0.500 0.246 0.754
Zr 0.250 0.413 0.413
Zr 0.750 0.587 0.587

Summary:
calculated formation energy: -4.654 eV/f.u.
space group: C2/m (12)